Material: YMoNO2
Method: DFT, GGA+U
State: optimized geometry

Output
Total energy, eV/atom: -6.71
M_tot, μB per cell: 2.0

Structure (CIF):
```
data_YMoNO2
_space_group_name_H-M_alt 'P 4/m m m'
_space_group_IT_number 123
_space_group_name_Hall '-P 4 2'
_cell_length_a 4.298
_cell_length_b 4.298
_cell_length_c 4.548
_cell_angle_alpha 90.00
_cell_angle_beta 90.00
_cell_angle_gamma 90.00
loop_
_atom_site_label
_atom_site_fract_x
_atom_site_fract_y
_atom_site_fract_z
Y1 0.000 0.000 0.000
Mo1 0.500 0.500 0.500
N1 0.000 0.000 0.500
O1 0.000 0.500 0.000
```